Record 1
! Zr2Cd4Hg GGA-PBE optimized geometry; values from VASP
! Formation energy ... 0.426 eV per atom
! Magnetic moment ... 0.00 μB per formula unit
! Excess energy over the best structure of this formula in the dataset ... 387 meV per atom
! Uncorrected energy ... -2.5826 eV/atom
&SYSTEM
  ibrav = 0, nat = 14, ntyp = 3
/
ATOMIC_SPECIES
Zr 91.22 Zr.upf
Cd 112.41 Cd.upf
Hg 200.59 Hg.upf
ATOMIC_POSITIONS angstrom
Zr 1.327 2.488 -3.584
Zr 1.327 -2.488 3.584
Zr 0.000 2.488 2.453
Zr 2.654 2.488 4.714
Cd 1.298 2.488 -0.490
Cd 1.356 -2.488 6.677
Cd 2.654 0.277 2.832
Cd 0.000 0.277 4.336
Cd 2.654 4.698 2.832
Cd 0.000 4.698 4.336
Cd 1.298 7.463 0.490
Cd 1.356 2.488 7.658
Hg 2.654 0.000 0.000
Hg 0.000 0.000 7.167
CELL_PARAMETERS angstrom
-2.654 4.975 7.167
2.654 -4.975 7.167
2.654 4.975 -7.167

***

Record 2
! Pa2Ga3Rh4 GGA-PBE optimized geometry; values from VASP
! Formation energy ... -0.797 eV per atom
! Magnetic moment ... 0.00 μB per formula unit
! Uncorrected energy ... -7.1839 eV/atom
&SYSTEM
  ibrav = 0, nat = 18, ntyp = 3
/
ATOMIC_SPECIES
Pa 231.04 Pa.upf
Ga 69.72 Ga.upf
Rh 102.91 Rh.upf
ATOMIC_POSITIONS angstrom
Pa 2.870 6.287 6.296
Pa 2.870 1.718 2.853
Pa 2.870 -1.718 4.034
Pa 2.870 -6.287 0.590
Ga 0.000 0.000 3.443
Ga 1.435 3.693 5.165
Ga 1.435 -3.693 1.722
Ga 2.870 0.000 0.000
Ga 4.304 3.693 5.165
Ga 4.304 -3.693 1.722
Rh 2.870 5.339 3.756
Rh 1.435 1.143 5.165
Rh 1.435 -1.143 1.722
Rh 2.870 2.665 0.313
Rh 2.870 -2.665 6.574
Rh 4.304 1.143 5.165
Rh 4.304 -1.143 1.722
Rh 2.870 -5.339 3.131
CELL_PARAMETERS angstrom
2.870 -8.005 0.000
2.870 8.005 0.000
0.000 0.000 6.887

***

Record 3
! TbAgAs GGA-PBE optimized geometry; values from VASP
! Formation energy ... -0.681 eV per atom
! Magnetic moment ... 0.00 μB per formula unit
! Uncorrected energy ... -4.7244 eV/atom
&SYSTEM
  ibrav = 0, nat = 6, ntyp = 3
/
ATOMIC_SPECIES
Tb 158.93 Tb.upf
Ag 107.87 Ag.upf
As 74.92 As.upf
ATOMIC_POSITIONS angstrom
Tb 4.391 1.877 0.000
Tb 4.391 -1.877 0.000
Ag 0.492 0.000 2.669
Ag 6.740 0.000 1.673
As 2.401 0.000 0.944
As 4.831 0.000 3.399
CELL_PARAMETERS angstrom
4.391 -3.638 0.000
4.391 3.638 0.000
-1.550 0.000 4.342

***

Record 4
! La2UAs4Rh3 GGA-PBE optimized geometry; values from VASP
! Formation energy ... -0.856 eV per atom
! Magnetic moment ... 2.27 μB per formula unit
! Uncorrected energy ... -7.0359 eV/atom
&SYSTEM
  ibrav = 0, nat = 10, ntyp = 4
/
ATOMIC_SPECIES
La 138.91 La.upf
U 238.03 U.upf
As 74.92 As.upf
Rh 102.91 Rh.upf
ATOMIC_POSITIONS angstrom
La 0.000 2.181 2.440
La 2.181 0.000 8.585
U 0.000 0.000 5.512
As 0.000 0.000 0.000
As 0.000 2.181 7.351
As 2.181 0.000 3.673
As 2.181 2.181 0.000
Rh 0.000 2.181 9.850
Rh 2.181 0.000 1.175
Rh 2.181 2.181 5.512
CELL_PARAMETERS angstrom
4.362 0.000 0.000
0.000 4.362 0.000
0.000 0.000 11.025

***

Record 5
! Th2CdSnOs GGA-PBE optimized geometry; values from VASP
! Formation energy ... -0.201 eV per atom
! Magnetic moment ... 0.00 μB per formula unit
! Uncorrected energy ... -6.3982 eV/atom
&SYSTEM
  ibrav = 0, nat = 10, ntyp = 4
/
ATOMIC_SPECIES
Th 232.04 Th.upf
Cd 112.41 Cd.upf
Sn 118.71 Sn.upf
Os 190.23 Os.upf
ATOMIC_POSITIONS angstrom
Th -0.019 1.024 3.343
Th 1.695 1.024 0.052
Th 4.095 3.073 8.284
Th 5.809 3.073 4.993
Cd 0.572 3.073 6.150
Cd 5.218 1.024 2.186
Sn 3.097 3.073 2.988
Sn 2.693 1.024 5.347
Os 0.739 3.073 1.713
Os 5.051 1.024 6.622
CELL_PARAMETERS angstrom
8.519 0.000 0.000
0.000 4.097 0.000
-2.729 0.000 8.336

***

Record 6
! AcNdCdPt GGA-PBE optimized geometry; values from VASP
! Formation energy ... -0.579 eV per atom
! Magnetic moment ... 0.00 μB per formula unit
! Uncorrected energy ... -4.5375 eV/atom
&SYSTEM
  ibrav = 0, nat = 4, ntyp = 4
/
ATOMIC_SPECIES
Ac 227.00 Ac.upf
Nd 144.24 Nd.upf
Cd 112.41 Cd.upf
Pt 195.08 Pt.upf
ATOMIC_POSITIONS angstrom
Ac 0.000 0.000 0.000
Nd 3.823 3.823 3.823
Cd 1.911 1.911 1.911
Pt 5.734 5.734 5.734
CELL_PARAMETERS angstrom
0.000 3.823 3.823
3.823 0.000 3.823
3.823 3.823 0.000

***

Record 7
! NpGe2Pd4 GGA-PBE optimized geometry; values from VASP
! Formation energy ... -0.376 eV per atom
! Magnetic moment ... 3.90 μB per formula unit
! Excess energy over the best structure of this formula in the dataset ... 92 meV per atom
! Uncorrected energy ... -6.5110 eV/atom
&SYSTEM
  ibrav = 0, nat = 7, ntyp = 3
/
ATOMIC_SPECIES
Np 237.00 Np.upf
Ge 72.64 Ge.upf
Pd 106.42 Pd.upf
ATOMIC_POSITIONS angstrom
Np 0.000 0.000 0.000
Ge 1.372 0.000 5.572
Ge 5.841 0.000 1.690
Pd 0.610 0.000 3.080
Pd 3.198 0.000 2.074
Pd 4.015 0.000 5.188
Pd 6.603 0.000 4.182
CELL_PARAMETERS angstrom
4.251 -2.001 0.000
4.251 2.001 0.000
-1.289 0.000 7.262

***

Record 8
! Hf3SiW GGA-PBE optimized geometry; values from VASP
! E_form (uncorrected) ... 1.105 eV/atom
! Magnetic moment ... 0.00 μB per formula unit
! Excess energy over the best structure of this formula in the dataset ... 386 meV per atom
! Uncorrected energy ... -8.5423 eV/atom
&SYSTEM
  ibrav = 0, nat = 5, ntyp = 3
/
ATOMIC_SPECIES
Hf 178.49 Hf.upf
Si 28.09 Si.upf
W 183.84 W.upf
ATOMIC_POSITIONS angstrom
Hf 0.000 0.000 2.507
Hf 0.000 2.507 0.000
Hf 2.507 0.000 0.000
Si 2.507 2.507 2.507
W 0.000 0.000 0.000
CELL_PARAMETERS angstrom
5.015 0.000 0.000
0.000 5.015 0.000
0.000 0.000 5.015

***

Record 9
! NpZnGa GGA-PBE optimized geometry; values from VASP
! Formation energy ... -0.134 eV per atom
! Magnetic moment ... 0.31 μB per formula unit
! Uncorrected energy ... -5.8811 eV/atom
&SYSTEM
  ibrav = 0, nat = 12, ntyp = 3
/
ATOMIC_SPECIES
Np 237.00 Np.upf
Zn 65.41 Zn.upf
Ga 69.72 Ga.upf
ATOMIC_POSITIONS angstrom
Np 0.036 0.864 0.829
Np 3.807 2.591 4.946
Np 3.879 0.864 3.287
Np 7.650 2.591 7.404
Zn 1.181 0.864 4.973
Zn 2.661 2.591 0.856
Zn 5.024 0.864 7.377
Zn 6.504 2.591 3.260
Ga 1.373 2.591 3.050
Ga 2.470 0.864 7.167
Ga 5.216 2.591 1.066
Ga 6.313 0.864 5.183
CELL_PARAMETERS angstrom
7.686 0.000 0.000
0.000 3.454 0.000
0.000 0.000 8.233

***

Record 10
! Nd4TlHg2Au GGA-PBE optimized geometry; values from VASP
! Formation energy ... -0.515 eV per atom
! Magnetic moment ... 0.88 μB per formula unit
! Uncorrected energy ... -3.6793 eV/atom
&SYSTEM
  ibrav = 0, nat = 8, ntyp = 4
/
ATOMIC_SPECIES
Nd 144.24 Nd.upf
Tl 204.38 Tl.upf
Hg 200.59 Hg.upf
Au 196.97 Au.upf
ATOMIC_POSITIONS angstrom
Nd 0.000 0.000 3.151
Nd 0.000 0.000 9.793
Nd 0.000 0.000 16.686
Nd 0.000 0.000 23.329
Tl 0.000 0.000 13.240
Hg 0.000 0.000 6.471
Hg 0.000 0.000 20.009
Au 0.000 0.000 0.000
CELL_PARAMETERS angstrom
2.705 1.562 8.827
-2.705 1.562 8.827
0.000 -3.124 8.827

***

Record 11
! InRh2Pb GGA-PBE optimized geometry; values from VASP
! Formation energy ... 0.256 eV per atom
! Magnetic moment ... 1.08 μB per formula unit
! Uncorrected energy ... -5.0312 eV/atom
&SYSTEM
  ibrav = 0, nat = 4, ntyp = 3
/
ATOMIC_SPECIES
In 114.82 In.upf
Rh 102.91 Rh.upf
Pb 207.20 Pb.upf
ATOMIC_POSITIONS angstrom
In 0.000 0.000 0.000
Rh 0.000 0.000 12.997
Rh 0.000 0.000 19.941
Pb 0.000 0.000 6.142
CELL_PARAMETERS angstrom
1.606 0.927 8.977
-1.606 0.927 8.977
0.000 -1.854 8.977

***

Record 12
! EuLu2Pb GGA-PBE optimized geometry; values from VASP
! Formation energy ... -0.209 eV per atom
! Magnetic moment ... 7.90 μB per formula unit
! Excess energy over the best structure of this formula in the dataset ... 0 meV per atom
! Uncorrected energy ... -5.9650 eV/atom
&SYSTEM
  ibrav = 0, nat = 4, ntyp = 3
/
ATOMIC_SPECIES
Eu 151.96 Eu.upf
Lu 174.97 Lu.upf
Pb 207.20 Pb.upf
ATOMIC_POSITIONS angstrom
Eu 0.000 0.000 0.000
Lu 0.000 2.458 2.398
Lu 2.458 0.000 2.398
Pb 2.458 2.458 0.000
CELL_PARAMETERS angstrom
4.916 0.000 0.000
0.000 4.916 0.000
0.000 0.000 4.795

***

Record 13
! Na2VBr GGA-PBE optimized geometry; values from VASP
! E_form (uncorrected) ... 0.394 eV/atom
! Magnetic moment ... 4.52 μB per formula unit
! Excess energy over the best structure of this formula in the dataset ... 130 meV per atom
! Uncorrected energy ... -2.9630 eV/atom
&SYSTEM
  ibrav = 0, nat = 4, ntyp = 3
/
ATOMIC_SPECIES
Na 22.99 Na.upf
V 50.94 V.upf
Br 79.90 Br.upf
ATOMIC_POSITIONS angstrom
Na 1.923 1.923 1.923
Na 5.768 5.768 5.768
V 0.000 0.000 0.000
Br 3.846 3.846 3.846
CELL_PARAMETERS angstrom
0.000 3.846 3.846
3.846 0.000 3.846
3.846 3.846 0.000

***

Record 14
! MgRhAu2S GGA-PBE optimized geometry; values from VASP
! E_form (uncorrected) ... 0.766 eV/atom
! Magnetic moment ... 0.79 μB per formula unit
! Uncorrected energy ... -3.1598 eV/atom
&SYSTEM
  ibrav = 0, nat = 5, ntyp = 4
/
ATOMIC_SPECIES
Mg 24.30 Mg.upf
Rh 102.91 Rh.upf
Au 196.97 Au.upf
S 32.06 S.upf
ATOMIC_POSITIONS angstrom
Mg 0.000 0.000 0.000
Rh 0.000 0.000 2.408
Au 0.000 2.494 2.408
Au 2.494 0.000 2.408
S 2.494 2.494 0.000
CELL_PARAMETERS angstrom
4.989 0.000 0.000
0.000 4.989 0.000
0.000 0.000 4.816

***

Record 15
! BeCu3W GGA-PBE optimized geometry; values from VASP
! Formation energy ... 1.983 eV per atom
! Magnetic moment ... 0.00 μB per formula unit
! Excess energy over the best structure of this formula in the dataset ... 1295 meV per atom
! Uncorrected energy ... -3.8108 eV/atom
&SYSTEM
  ibrav = 0, nat = 5, ntyp = 3
/
ATOMIC_SPECIES
Be 9.01 Be.upf
Cu 63.55 Cu.upf
W 183.84 W.upf
ATOMIC_POSITIONS angstrom
Be 0.000 0.000 0.000
Cu 0.000 2.340 2.340
Cu 2.340 0.000 2.340
Cu 2.340 2.340 0.000
W 2.340 2.340 2.340
CELL_PARAMETERS angstrom
4.679 0.000 0.000
0.000 4.679 0.000
0.000 0.000 4.679

***

Record 16
! La2NiMo2 GGA-PBE optimized geometry; values from VASP
! Formation energy ... 0.379 eV per atom
! Magnetic moment ... 0.00 μB per formula unit
! Excess energy over the best structure of this formula in the dataset ... 0 meV per atom
! Uncorrected energy ... -7.0804 eV/atom
&SYSTEM
  ibrav = 0, nat = 10, ntyp = 3
/
ATOMIC_SPECIES
La 138.91 La.upf
Ni 58.69 Ni.upf
Mo 95.94 Mo.upf
ATOMIC_POSITIONS angstrom
La 1.261 2.146 0.000
La 2.146 5.552 0.000
La 4.668 1.261 0.000
La 5.552 4.668 0.000
Ni 0.000 0.000 2.380
Ni 3.407 3.407 2.380
Mo 0.848 4.255 2.380
Mo 2.559 0.848 2.380
Mo 4.255 5.965 2.380
Mo 5.965 2.559 2.380
CELL_PARAMETERS angstrom
6.813 0.000 0.000
0.000 6.813 0.000
0.000 0.000 4.761

***

Record 17
! EuCrCu4 GGA-PBE optimized geometry; values from VASP
! Formation energy ... 0.114 eV per atom
! Magnetic moment ... 2.77 μB per formula unit
! Uncorrected energy ... -5.9330 eV/atom
&SYSTEM
  ibrav = 0, nat = 6, ntyp = 3
/
ATOMIC_SPECIES
Eu 151.96 Eu.upf
Cr 52.00 Cr.upf
Cu 63.55 Cu.upf
ATOMIC_POSITIONS angstrom
Eu 0.000 0.000 0.000
Cr 5.426 5.426 5.426
Cu 2.725 2.725 2.725
Cu 4.511 4.511 2.725
Cu 4.511 2.725 4.511
Cu 2.725 4.511 4.511
CELL_PARAMETERS angstrom
0.000 3.618 3.618
3.618 0.000 3.618
3.618 3.618 0.000

***

Record 18
! Ti2SiHPd GGA-PBE optimized geometry; values from VASP
! Magnetic moment ... 0.00 μB per formula unit
! Uncorrected energy ... -6.4774 eV/atom
&SYSTEM
  ibrav = 0, nat = 5, ntyp = 4
/
ATOMIC_SPECIES
Ti 47.87 Ti.upf
Si 28.09 Si.upf
H 1.01 H.upf
Pd 106.42 Pd.upf
ATOMIC_POSITIONS angstrom
Ti 0.000 1.978 0.000
Ti 1.978 0.000 0.000
Si 0.000 0.000 1.993
H 1.978 1.978 0.000
Pd 1.978 1.978 1.993
CELL_PARAMETERS angstrom
3.957 0.000 0.000
0.000 3.957 0.000
0.000 0.000 3.986

***

Record 19
! LiPrPu GGA-PBE optimized geometry; values from VASP
! Formation energy ... 0.098 eV per atom
! Magnetic moment ... 0.00 μB per formula unit
! Excess energy over the best structure of this formula in the dataset ... 0 meV per atom
! Uncorrected energy ... -6.9108 eV/atom
&SYSTEM
  ibrav = 0, nat = 6, ntyp = 3
/
ATOMIC_SPECIES
Li 6.94 Li.upf
Pr 140.91 Pr.upf
Pu 244.00 Pu.upf
ATOMIC_POSITIONS angstrom
Li 0.000 0.000 0.000
Li 2.538 0.000 12.016
Pr -0.061 0.000 9.266
Pr 2.583 0.000 2.748
Pu 0.211 0.000 5.416
Pu 2.310 0.000 6.597
CELL_PARAMETERS angstrom
2.841 -2.009 0.000
2.841 2.009 0.000
-0.723 0.000 14.079

***

Record 20
! Sr3LaCl GGA-PBE optimized geometry; values from VASP
! E_form (uncorrected) ... 0.444 eV/atom
! Magnetic moment ... 4.07 μB per formula unit
! Excess energy over the best structure of this formula in the dataset ... 916 meV per atom
! Uncorrected energy ... -1.9196 eV/atom
&SYSTEM
  ibrav = 0, nat = 5, ntyp = 3
/
ATOMIC_SPECIES
Sr 87.62 Sr.upf
La 138.91 La.upf
Cl 35.45 Cl.upf
ATOMIC_POSITIONS angstrom
Sr 0.000 0.000 3.413
Sr 0.000 3.413 0.000
Sr 3.413 0.000 0.000
La 0.000 0.000 0.000
Cl 3.413 3.413 3.413
CELL_PARAMETERS angstrom
6.826 0.000 0.000
0.000 6.826 0.000
0.000 0.000 6.826

***

Record 21
! TbNdEr2Sc2 GGA-PBE optimized geometry; values from VASP
! Formation energy ... 0.079 eV per atom
! Magnetic moment ... 0.05 μB per formula unit
! Uncorrected energy ... -5.1192 eV/atom
&SYSTEM
  ibrav = 0, nat = 12, ntyp = 4
/
ATOMIC_SPECIES
Tb 158.93 Tb.upf
Nd 144.24 Nd.upf
Er 167.26 Er.upf
Sc 44.96 Sc.upf
ATOMIC_POSITIONS angstrom
Tb 0.000 0.000 0.000
Tb 3.379 4.763 2.741
Nd 0.000 4.763 2.741
Nd 3.379 0.000 0.000
Er 1.678 1.587 2.741
Er 1.700 6.350 0.000
Er 5.057 3.177 0.000
Er 5.079 7.940 2.741
Sc 1.690 3.177 0.000
Sc 1.688 7.940 2.741
Sc 5.069 1.587 2.741
Sc 5.067 6.350 0.000
CELL_PARAMETERS angstrom
6.758 0.000 0.000
0.000 9.526 0.000
0.000 0.000 5.482

***

Record 22
! K2LiTc GGA-PBE optimized geometry; values from VASP
! Formation energy ... 1.204 eV per atom
! Magnetic moment ... 3.33 μB per formula unit
! Excess energy over the best structure of this formula in the dataset ... 294 meV per atom
! Uncorrected energy ... -2.4149 eV/atom
&SYSTEM
  ibrav = 0, nat = 4, ntyp = 3
/
ATOMIC_SPECIES
K 39.10 K.upf
Li 6.94 Li.upf
Tc 98.00 Tc.upf
ATOMIC_POSITIONS angstrom
K 0.000 0.000 0.000
K 2.515 2.573 0.000
Li 0.000 2.573 2.630
Tc 2.515 0.000 2.630
CELL_PARAMETERS angstrom
5.030 0.000 0.000
0.000 5.145 0.000
0.000 0.000 5.260

***

Record 23
! ErLuTc4 GGA-PBE optimized geometry; values from VASP
! Formation energy ... -0.207 eV per atom
! Magnetic moment ... 0.00 μB per formula unit
! Uncorrected energy ... -8.6319 eV/atom
&SYSTEM
  ibrav = 0, nat = 6, ntyp = 3
/
ATOMIC_SPECIES
Er 167.26 Er.upf
Lu 174.97 Lu.upf
Tc 98.00 Tc.upf
ATOMIC_POSITIONS angstrom
Er 0.000 0.000 0.000
Lu 5.692 5.692 5.692
Tc 2.846 2.846 2.846
Tc 4.743 4.743 2.846
Tc 4.743 2.846 4.743
Tc 2.846 4.743 4.743
CELL_PARAMETERS angstrom
0.000 3.794 3.794
3.794 0.000 3.794
3.794 3.794 0.000

***

Record 24
! ZnAs2RuI GGA-PBE optimized geometry; values from VASP
! E_form (uncorrected) ... 1.263 eV/atom
! Magnetic moment ... 0.00 μB per formula unit
! Excess energy over the best structure of this formula in the dataset ... 0 meV per atom
! Uncorrected energy ... -3.0163 eV/atom
&SYSTEM
  ibrav = 0, nat = 5, ntyp = 4
/
ATOMIC_SPECIES
Zn 65.41 Zn.upf
As 74.92 As.upf
Ru 101.07 Ru.upf
I 126.90 I.upf
ATOMIC_POSITIONS angstrom
Zn 0.000 0.000 0.000
As 0.000 2.335 0.000
As 2.335 0.000 0.000
Ru 2.335 2.335 2.710
I 0.000 0.000 2.710
CELL_PARAMETERS angstrom
4.670 0.000 0.000
0.000 4.670 0.000
0.000 0.000 5.421

***

Record 25
! BeZn2Mo GGA-PBE optimized geometry; values from VASP
! Formation energy ... 0.104 eV per atom
! Magnetic moment ... 0.00 μB per formula unit
! Uncorrected energy ... -4.1725 eV/atom
&SYSTEM
  ibrav = 0, nat = 4, ntyp = 3
/
ATOMIC_SPECIES
Be 9.01 Be.upf
Zn 65.41 Zn.upf
Mo 95.94 Mo.upf
ATOMIC_POSITIONS angstrom
Be 0.000 0.000 0.000
Zn 0.000 0.000 3.952
Zn 1.721 0.000 6.085
Mo 1.721 0.000 1.806
CELL_PARAMETERS angstrom
1.721 -2.000 0.000
1.721 2.000 0.000
0.000 0.000 7.824